# TbSmIr (PBE-GGA, relaxed)
# **Calculated formation energy**: -616.1 meV per atom
# **Size of the total moment**: 0.00 μB per formula unit
# **Energy above the lowest structure with this stoichiometry**: 0.9 kJ/mol of atoms
# **DOS at the Fermi energy**: 0.83 states/eV/atom
# **Theoretical density**: 10.67 g/cm3
data_TbSmIr
_space_group_name_H-M_alt 'P 1'
_space_group_IT_number 1
_cell_length_a 6.628
_cell_length_b 6.372
_cell_length_c 6.372
_cell_angle_alpha 144.54
_cell_angle_beta 90.00
_cell_angle_gamma 90.00
loop_
_space_group_symop_operation_xyz
'x,y,z'
loop_
_atom_site_label
_atom_site_fract_x
_atom_site_fract_y
_atom_site_fract_z
Sm1 0.250 0.717 0.283
Sm2 0.750 0.283 0.717
Ir1 0.750 0.616 0.384
Ir2 0.250 0.384 0.616
Tb1 0.500 0.000 0.000
Tb2 0.000 0.000 0.000



# KInIrCl (PBE-GGA, relaxed)
# **Size of the total moment**: 0.42 μB per formula unit
# **Energy above the lowest structure with this stoichiometry**: 4.7 kJ/mol of atoms
# **DOS at the Fermi energy**: 0.41 states/eV/atom
# **Theoretical density**: 6.15 g/cm3
# **Formation energy from raw total energies**: -0.37 eV per atom
data_KInIrCl
_space_group_name_H-M_alt 'P 1'
_space_group_IT_number 1
_cell_length_a 3.391
_cell_length_b 4.124
_cell_length_c 15.096
_cell_angle_alpha 90.00
_cell_angle_beta 102.69
_cell_angle_gamma 90.00
loop_
_space_group_symop_operation_xyz
'x,y,z'
loop_
_atom_site_label
_atom_site_fract_x
_atom_site_fract_y
_atom_site_fract_z
Ir1 0.580 0.500 0.085
Ir2 0.580 0.000 0.585
In1 0.108 0.500 0.614
In2 0.108 0.000 0.114
Cl1 0.415 0.500 0.915
Cl2 0.415 0.000 0.415
K1 0.825 0.500 0.322
K2 0.825 0.000 0.822